The following is a DFT calculation (GGA-PBE) of RbHgTe3As after structural relaxation.

The structure in POSCAR format:
```
RbHgTe3As
1.0
9.098 0.000 0.000
0.000 4.445 0.000
-3.698 0.000 10.569
Rb Hg Te As
2 2 6 2
Cartesian
1.136 1.111 3.005
4.264 3.334 7.564
-1.598 1.111 6.647
6.998 3.334 3.922
-2.267 1.111 9.413
0.136 3.334 5.928
3.725 3.334 1.433
1.675 1.111 9.136
5.264 1.111 4.641
7.667 3.334 1.156
-0.324 3.334 9.364
5.724 1.111 1.205
```

Computed properties:
**ΔE_f (raw)**: -337 meV per atom
**VASP energy**: -17.367 eV per formula unit